First-principles (PBE) data for crystalline Tm6C3S2O at its relaxed geometry, as listed in the Alexandria database.

Lattice parameters (Å, degrees): 3.597 7.349 8.178 104.32 102.71 90.00
Positions (direct):
C1 0.500 0.500 0.000
C2 0.164 0.837 0.329
C3 0.836 0.163 0.671
Tm1 0.993 0.253 0.985
Tm2 0.007 0.747 0.015
Tm3 0.344 0.394 0.688
Tm4 0.656 0.606 0.312
Tm5 0.669 0.059 0.338
Tm6 0.331 0.941 0.662
S1 0.167 0.334 0.334
S2 0.833 0.666 0.666
O1 0.500 0.000 0.000

Values from the calculation:
- D(E_F) (states/eV per atom) = 0.105
- energy (eV per atom) = -7.076
- crystal system = monoclinic
- formation energy without anion corrections (kJ/mol of formula units) = -1659